# 1
Below is a relaxed In2TcRh crystal, with properties calculated at the PBE-GGA level.

Summary:
Energy above the most stable polymorph in this dataset: 0.339 eV per atom
ρ: 9.99 g/cm3
ΔE_f: 326 meV per atom
DOS(E_F): 1.12 states/eV/atom

Structure (CIF):
```
data_In2TcRh
_chemical_formula_sum 'In8 Tc4 Rh4'
_cell_length_a 6.590
_cell_length_b 6.590
_cell_length_c 6.590
_cell_angle_alpha 90.00
_cell_angle_beta 90.00
_cell_angle_gamma 90.00
_space_group_name_H-M_alt 'F -4 3 m'
_space_group_IT_number 216
_space_group_name_Hall 'F -4 2 3'
loop_
_atom_site_label
_atom_site_type_symbol
_atom_site_fract_x
_atom_site_fract_y
_atom_site_fract_z
In1 In 0.000 0.000 0.000
In2 In 0.250 0.250 0.250
Tc1 Tc 0.250 0.250 0.750
Rh1 Rh 0.000 0.000 0.500
```


# 2
Below is a relaxed Na2Si4Pt5 crystal, with properties calculated at the PBE-GGA level.

Summary:
ρ: 9.48 g/cm3
DOS(E_F): 0.24 states/eV/atom
ΔE_f (raw): -577 meV/atom

Structure (CIF):
```
data_Na2Si4Pt5
_chemical_formula_sum 'Na8 Si16 Pt20'
_cell_length_a 5.515
_cell_length_b 9.791
_cell_length_c 14.718
_cell_angle_alpha 90.00
_cell_angle_beta 90.00
_cell_angle_gamma 90.00
_space_group_name_H-M_alt 'F m m m'
_space_group_IT_number 69
_space_group_name_Hall '-F 2 2'
loop_
_atom_site_label
_atom_site_type_symbol
_atom_site_fract_x
_atom_site_fract_y
_atom_site_fract_z
Na1 Na 0.000 0.000 0.124
Si1 Si 0.000 0.160 0.372
Pt1 Pt 0.000 0.000 0.500
Pt2 Pt 0.250 0.250 0.000
Pt3 Pt 0.250 0.250 0.250
```